(1)
ReSb2As | PBE | optimized geometry

Lattice parameters (Å, degrees): 4.9156 4.9156 3.3262 90.00 90.00 90.00
Last column: nearest neighbours and their distance in Å.
Space group P4/mmm (No. 123)
Symmetry-distinct sites (fractional):
Re 0.0000 0.0000 0.0000 x1  8 Sb 2.97
Sb 0.0000 0.5000 0.5000 x2  4 As 2.97, 4 Re 2.97
As 0.5000 0.5000 0.0000 x1  8 Sb 2.97

Summary:
VASP energy = -5.55 eV per atom

***

(2)
Al2BiTeO8 | PBE | optimized geometry

Lattice parameters (Å, degrees): 6.5001 6.5152 6.4284 90.00 90.00 90.00
Last column: nearest neighbours and their distance in Å.
Space group Cmmm (No. 65)
Symmetry-distinct sites (fractional):
Al 0.0000 0.0000 0.2419 x4  6 O 1.91-2.02
Bi 0.0000 0.5000 0.5000 x2  6 O 2.17-2.25
Te 0.0000 0.5000 0.0000 x2  6 O 1.95-1.98
O 0.0000 0.1664 0.5000 x4  2 Al 1.98, 1 O 2.17, 1 Bi 2.17
O 0.0000 0.1967 0.0000 x4  1 Te 1.98, 2 Al 2.02
O 0.2074 0.5000 0.2196 x8  1 Al 1.91, 1 Te 1.95

Summary:
VASP energy = -6.24 eV per atom

***

Sequential uncorrected formation energy output: 0.79 -1.72 eV per atom
Sequential spin magnetization output: 0.00 0.00 μB per atom